Computed, not measured: HfAlV2Cd after structural relaxation at the PBE-GGA level of DFT.

Computed properties:
ΔH_f (0 K) (meV/atom): 1513

a = 4.8701 Å, b = 4.8701 Å, c = 5.1608 Å
α = 90.00°, β = 90.00°, γ = 90.00°
With the nearest neighbours (Å) after each atom.
Space group P4/mmm (No. 123)
Unique sites:
Hf 0.0000 0.0000 0.0000  2 Cd 2.58
Al 0.5000 0.5000 0.0000  4 Hf 3.44, 8 V 3.55
V 0.0000 0.5000 0.5000  2 Cd 2.44
Cd 0.0000 0.0000 0.5000  4 V 2.44, 2 Hf 2.58